This record from Alexandria via LeMat-Bulk describes crystalline Y7Au3 at its relaxed geometry. The functional is PBEsol.

It has space group P6_3mc (No. 186), with a = 9.9252 Å, b = 9.9252 Å, c = 6.2518 Å, α = 90.00°, β = 90.00° and γ = 120.00°. Symmetry generates all atoms from Y at (0.0728, 0.5364, 0.0000), Y at (0.1287, 0.2575, 0.2923), Y at (0.3333, 0.6667, 0.4793) and Au at (0.1908, 0.3816, 0.7317).

The final energy comes out at -6.495 eV per atom. Its formation energy is -0.543 eV per atom.